No. 1
RbPdW3: optimized geometry, PBE-GGA.

Results
formation enthalpy at 0 K	3.813	eV per atom
energy relative to the lowest polymorph listed for this composition	1.195	eV/atom
space group	Pm-3m (221)

```
RbPdW3
1.0
-4.451 -1.278 0.075
0.096 -0.063 4.630
-1.276 4.451 0.087
Rb Pd W
1 1 3
Cartesian
0.000 0.000 0.000
-2.816 1.555 2.396
0.048 -0.032 2.315
-0.638 2.226 0.044
-2.226 -0.639 0.038
```

No. 2
TmAlO2: optimized geometry, PBE-GGA.

Results
formation energy without anion corrections	-9.189	eV/f.u.
space group	R-3m (166)

```
TmAlO2
1.0
3.085 0.000 0.000
1.543 2.672 0.000
1.543 0.891 6.306
Tm Al O
1 1 2
Cartesian
0.000 0.000 0.000
3.085 1.781 3.153
1.543 0.891 4.086
4.628 2.672 2.220
```

No. 3
Er2IrPd2: optimized geometry, PBE-GGA.

Results
formation enthalpy at 0 K	-0.639	eV per atom
space group	Ibam (72)

```
Er2IrPd2
1.0
5.602 0.000 0.000
0.000 6.199 0.000
-2.801 -3.099 6.044
Er Ir Pd
4 2 4
Cartesian
0.000 1.377 4.092
2.801 1.722 1.952
0.000 4.477 1.952
2.801 -1.377 4.092
4.202 3.099 0.000
1.401 3.099 0.000
2.801 2.087 4.848
0.000 1.012 1.196
2.801 5.186 1.196
0.000 -2.087 4.848
```

No. 4
Tb8Nd2Sm3: optimized geometry, PBE-GGA.

Results
formation enthalpy at 0 K	0.016	eV per atom
energy relative to the lowest polymorph listed for this composition	0.000	eV/atom
space group	P-1 (2)

```
Tb8Nd2Sm3
1.0
-2.279 5.504 -1.817
-4.211 -1.477 4.336
4.617 4.917 9.151
Tb Nd Sm
8 2 3
Cartesian
-1.408 0.492 3.271
-0.465 8.451 8.399
-2.824 0.996 6.535
0.952 7.947 5.136
-1.421 3.472 8.750
1.381 5.445 7.679
-3.254 3.499 3.991
-0.452 5.472 2.920
-1.861 5.970 6.200
-0.012 2.973 5.470
0.000 0.000 0.000
-1.842 2.997 0.728
-0.031 5.946 10.943
```

No. 5
RbGaGe3: optimized geometry, PBE-GGA.

Results
formation enthalpy at 0 K	1.621	eV per atom
energy relative to the lowest polymorph listed for this composition	1.600	eV/atom
space group	Pm-3m (221)

```
RbGaGe3
1.0
5.737 0.000 0.000
0.000 5.737 0.000
0.000 0.000 5.737
Ge Ga Rb
3 1 1
Cartesian
0.000 2.869 0.000
0.000 0.000 2.869
2.869 0.000 0.000
2.869 2.869 2.869
0.000 0.000 0.000
```

No. 6
Rb3Ce2TmS6: optimized geometry, PBE-GGA.

Results
formation energy without anion corrections	-21.425	eV/f.u.
space group	C2/m (12)

```
Rb3Ce2TmS6
1.0
-6.702 1.977 1.883
1.099 -6.310 -3.369
2.752 -2.025 7.283
Rb Ce Tm S
3 2 1 6
Cartesian
1.168 -5.934 1.152
-4.019 -0.424 4.644
-1.425 -3.179 2.898
-1.502 -3.547 -1.618
-4.101 -0.786 0.132
0.000 0.000 0.000
-3.376 -3.654 5.568
-3.628 -3.610 0.307
0.525 -2.703 0.228
-0.864 -6.323 3.877
0.777 -2.747 5.490
-1.987 -0.035 1.919
```

No. 7
Zr2ZnHPt: optimized geometry, PBE-GGA.

Results
energy relative to the lowest polymorph listed for this composition	0.000	eV/atom
space group	P4/mmm (123)

```
Zr2ZnHPt
1.0
-4.104 -0.677 1.087
-0.293 -3.057 -3.009
1.185 -2.800 2.729
H Zn Zr Pt
1 1 2 1
Cartesian
0.000 0.000 0.000
0.592 -1.400 1.365
-0.147 -1.528 -1.505
-2.052 -0.338 0.544
-1.606 -3.267 0.404
```

No. 8
Ce2AuBr: optimized geometry, PBE-GGA.

Results
energy relative to the lowest polymorph listed for this composition	0.000	eV/atom
formation energy without anion corrections	-3.266	eV/f.u.
space group	R-3m (166)

```
Ce2AuBr
1.0
-2.601 -2.356 -2.540
1.059 -0.685 -4.144
2.930 -6.795 -0.392
Au Br Ce
1 1 2
Cartesian
0.000 0.000 0.000
0.694 -4.917 -3.538
0.318 -2.409 -1.785
1.071 -7.426 -5.291
```

No. 9
BaCrCo: optimized geometry, PBE-GGA.

Results
formation enthalpy at 0 K	1.713	eV per atom
energy relative to the lowest polymorph listed for this composition	1.051	eV/atom
space group	F-43m (216)

```
BaCrCo
1.0
5.223 0.000 0.000
2.612 4.523 0.000
2.612 1.508 4.265
Ba Co Cr
1 1 1
Cartesian
7.835 4.523 3.198
0.000 0.000 0.000
5.223 3.016 2.132
```

No. 10
Ta2TcPt2: optimized geometry, PBE-GGA.

Results
formation enthalpy at 0 K	-0.258	eV per atom
energy relative to the lowest polymorph listed for this composition	0.000	eV/atom
space group	P4/mbm (127)

```
Ta2TcPt2
1.0
7.231 0.000 0.000
0.000 7.231 0.000
0.000 0.000 3.263
Tc Pt Ta
2 4 4
Cartesian
0.000 0.000 0.000
3.616 3.616 0.000
2.682 6.298 0.000
6.298 4.549 0.000
4.549 0.933 0.000
0.933 2.682 0.000
1.263 4.879 1.632
4.879 5.968 1.632
5.968 2.352 1.632
2.352 1.263 1.632
```

No. 11
ScGa6Ni6: optimized geometry, PBE-GGA.

Results
formation enthalpy at 0 K	-0.474	eV per atom
space group	Immm (71)

```
ScGa6Ni6
1.0
-1.008 -3.090 -3.780
4.983 -0.727 -4.022
1.735 -6.085 1.224
Sc Ga Ni
1 6 6
Cartesian
0.000 0.000 0.000
4.084 -5.543 -3.133
1.626 -4.359 -3.445
2.829 -4.281 -0.543
3.889 -2.531 -2.255
0.867 -2.206 -1.716
4.843 -7.697 -4.863
2.492 -0.363 -2.011
1.988 -1.909 -3.901
0.868 -3.042 0.612
0.364 -4.588 -1.278
3.701 -3.556 -4.656
2.009 -6.347 -1.923
```

No. 12
Y2SiNO: optimized geometry, PBE-GGA.

Results
formation energy without anion corrections	-0.012	eV/f.u.
space group	P4/mmm (123)

```
Y2SiNO
1.0
5.170 0.000 0.000
0.000 3.598 0.000
0.000 0.000 5.170
Y Si O N
2 1 1 1
Cartesian
0.000 0.000 2.585
2.585 0.000 0.000
0.000 0.000 0.000
0.000 1.799 0.000
2.585 1.799 2.585
```

No. 13
AsO2F: optimized geometry, PBE-GGA.

Results
formation energy without anion corrections	-4.649	eV/f.u.
space group	P1 (1)

```
AsO2F
1.0
4.341 -0.960 2.029
0.345 2.856 0.618
1.005 -1.396 5.853
As O F
1 2 1
Cartesian
2.574 -1.039 5.306
2.722 0.168 6.651
3.624 -0.900 4.076
0.912 -0.744 4.871
```

No. 14
KNb2IN: optimized geometry, PBE-GGA.

Results
formation energy without anion corrections	12.322	eV/f.u.
space group	P4/mmm (123)

```
KNb2IN
1.0
-3.723 3.055 1.600
-3.703 -4.918 0.773
1.649 -0.491 4.774
I Nb K N
1 2 1 1
Cartesian
0.000 0.000 0.000
0.824 -0.246 2.387
-1.862 1.527 0.800
-1.851 -2.459 0.386
-2.888 -1.177 3.574
```